No. 1
SiTcAs2 | PBEsol | optimized geometry

```
data_SiTcAs2
_symmetry_space_group_name_H-M 'C m m 2'
_symmetry_Int_Tables_number 35
_cell_length_a 3.051
_cell_length_b 4.749
_cell_length_c 8.987
_cell_angle_alpha 90.00
_cell_angle_beta 90.00
_cell_angle_gamma 90.00
loop_
_symmetry_equiv_pos_as_xyz
'x,y,z'
'-x,-y,z'
'-x,y,z'
'x,-y,z'
'x+1/2,y+1/2,z'
'-x+1/2,-y+1/2,z'
'-x+1/2,y+1/2,z'
'x+1/2,-y+1/2,z'
loop_
_atom_site_label
_atom_site_type_symbol
_atom_site_fract_x
_atom_site_fract_y
_atom_site_fract_z
Si1 Si 0.000 0.000 0.000
Tc1 Tc 0.000 0.500 0.790
As1 As 0.000 0.000 0.565
As2 As 0.000 0.500 0.245
```

Calculated values
DFT total energy, eV/cell: -52.35
ΔE_f (raw), eV/atom: 0.262



No. 2
CsFeCl2 | PBEsol | optimized geometry

```
data_CsFeCl2
_symmetry_space_group_name_H-M 'R -3 m'
_symmetry_Int_Tables_number 166
_symmetry_space_group_name_Hall '-R 3 2"'
_cell_length_a 5.6209
_cell_length_b 5.6209
_cell_length_c 19.7500
_cell_angle_alpha 90.00
_cell_angle_beta 90.00
_cell_angle_gamma 120.00
loop_
_atom_site_label
_atom_site_type_symbol
_atom_site_fract_x
_atom_site_fract_y
_atom_site_fract_z
Cs1 Cs 0.0000 0.0000 0.0000
Fe1 Fe 0.0000 0.0000 0.5000
Cl1 Cl 0.0000 0.0000 0.3925
```

Calculated values
DFT total energy, eV/cell: -50.20
ΔE_f (raw), eV/atom: -0.703



No. 3
MgZn3Fe | PBEsol | optimized geometry

```
data_MgZn3Fe
_symmetry_space_group_name_H-M 'P m -3 m'
_symmetry_Int_Tables_number 221
_symmetry_space_group_name_Hall '-P 4 2 3'
_cell_length_a 4.713
_cell_length_b 4.713
_cell_length_c 4.713
_cell_angle_alpha 90.00
_cell_angle_beta 90.00
_cell_angle_gamma 90.00
loop_
_atom_site_label
_atom_site_type_symbol
_atom_site_fract_x
_atom_site_fract_y
_atom_site_fract_z
Mg1 Mg 0.000 0.000 0.000
Zn1 Zn 0.000 0.000 0.500
Fe1 Fe 0.500 0.500 0.500
```

Calculated values
DFT total energy, eV/cell: -9.09
E_form, eV/atom: 1.27